1.
BaLiTl | PBE | optimized geometry

Values from the calculation:
As for the theoretical density: 5.8 g/cm3. The calculated volume comes out at 33.545 Å³/atom. As for the energy relative to the elements: -0.26 eV per atom.

Cell lengths 5.3400, 5.3400, 4.0750 Å; angles 90.00, 90.00, 120.00 degrees
With the nearest neighbours (Å) after each atom.
Fractional positions:
Tl: 0.3333 0.6667 0.4999  3 Li 3.08
Ba: 0.0000 0.0000 0.0002  6 Li 3.69-3.70, 6 Tl 3.69-3.70, 2 Ba 4.08
Li: 0.6667 0.3333 0.4999  3 Tl 3.08

***

2.
Ba2LiTl3 | PBE | optimized geometry

Values from the calculation:
As for the theoretical density: 7.2 g/cm3. The calculated volume comes out at 34.482 Å³/atom. As for the energy relative to the elements: -0.33 eV per atom.

Cell lengths 6.7816, 6.7816, 10.7106 Å; angles 113.20, 113.20, 75.84 degrees
With the nearest neighbours (Å) after each atom.
Fractional positions:
Ba: 0.7500 0.2500 0.5000  8 Tl 3.68, 4 Li 3.73
Ba: 0.7562 0.2438 0.0000  10 Tl 3.71-3.80, 2 Li 3.76, 1 Ba 4.06
Ba: 0.2500 0.7500 0.5000  8 Tl 3.68, 4 Li 3.73
Ba: 0.2438 0.7562 0.0000  10 Tl 3.71-3.80, 2 Li 3.76, 1 Ba 4.06
Li: 0.6666 0.6666 0.3331  3 Tl 2.97-2.98
Li: 0.3334 0.3334 0.6669  3 Tl 2.97-2.98
Tl: 0.8274 0.8274 0.1731  1 Li 2.97, 2 Tl 3.20-3.21
Tl: 0.6544 0.6544 0.8269  1 Li 2.97, 2 Tl 3.20-3.21
Tl: 0.1726 0.1726 0.8269  1 Li 2.97, 2 Tl 3.20-3.21
Tl: 0.3456 0.3456 0.1731  1 Li 2.97, 2 Tl 3.20-3.21
Tl: 0.1729 0.1729 0.3457  1 Li 2.98, 2 Tl 3.20
Tl: 0.8271 0.8271 0.6543  1 Li 2.98, 2 Tl 3.20

***

3.
BaLi3Tl3 | PBE | optimized geometry

Values from the calculation:
As for the theoretical density: 6.7 g/cm3. The calculated volume comes out at 27.338 Å³/atom. As for the energy relative to the elements: -0.21 eV per atom.

Cell lengths 8.9983, 8.9983, 7.5353 Å; angles 53.34, 53.34, 60.00 degrees
With the nearest neighbours (Å) after each atom.
Fractional positions:
Ba: 0.3245 0.3245 0.0266  6 Li 3.60-3.76, 6 Tl 3.64-3.67
Ba: 0.6755 0.6755 0.9734  6 Li 3.60-3.76, 6 Tl 3.64-3.67
Li: 0.1688 0.7117 0.1668  2 Li 2.75, 4 Tl 2.75-3.06
Li: 0.9527 0.1688 0.1668  2 Li 2.75, 4 Tl 2.75-3.06
Li: 0.7117 0.9527 0.1668  2 Li 2.75, 4 Tl 2.75-3.06
Li: 0.2883 0.0473 0.8332  2 Li 2.75, 4 Tl 2.75-3.06
Li: 0.0473 0.8312 0.8332  2 Li 2.75, 4 Tl 2.75-3.06
Li: 0.8312 0.2883 0.8332  2 Li 2.75, 4 Tl 2.75-3.06
Tl: 0.4403 0.7892 0.6288  4 Li 2.75-3.06
Tl: 0.7892 0.1416 0.6288  4 Li 2.75-3.06
Tl: 0.1416 0.4403 0.6288  4 Li 2.75-3.06
Tl: 0.8584 0.5597 0.3712  4 Li 2.75-3.06
Tl: 0.2108 0.8584 0.3712  4 Li 2.75-3.06
Tl: 0.5597 0.2108 0.3712  4 Li 2.75-3.06